Compound: Ba2SrSnOs
Source: Alexandria via LeMat-Bulk
Functional: PBE
Structure: relaxed

```
5
Lattice="6.578 0.000 0.000 0.000 6.578 0.000 0.000 0.000 6.174" Properties=species:S:1:pos:R:3 pbc="T T T"
Ba 0.000 3.289 0.000
Ba 3.289 0.000 0.000
Sr 0.000 0.000 3.087
Sn 0.000 0.000 0.000
Os 3.289 3.289 3.087
```

Values from the calculation:
Final energy (eV per atom): -3.112

---

Compound: NdEr6Sc4
Source: Alexandria via LeMat-Bulk
Functional: PBE
Structure: relaxed

```
22
Lattice="2.726 -4.695 0.000 2.726 4.695 0.000 0.000 0.000 24.837" Properties=species:S:1:pos:R:3 pbc="T T T"
Nd 2.726 3.078 18.628
Nd 2.726 -3.078 6.209
Er 2.726 3.188 4.407
Er 2.726 3.188 8.012
Er 2.726 3.079 14.809
Er 2.726 3.079 22.447
Er 2.726 0.056 6.209
Er 2.726 0.000 0.000
Er 2.726 0.000 12.419
Er 2.726 -0.056 18.628
Er 2.726 -3.079 2.390
Er 2.726 -3.079 10.028
Er 2.726 -3.188 16.826
Er 2.726 -3.188 20.430
Sc 2.726 3.151 1.049
Sc 2.726 3.151 11.369
Sc 2.726 0.062 3.046
Sc 2.726 0.062 9.372
Sc 2.726 -0.062 15.465
Sc 2.726 -0.062 21.791
Sc 2.726 -3.151 13.468
Sc 2.726 -3.151 23.788
```

Values from the calculation:
Final energy (eV per atom): -5.111

---

Compound: Ta2BeCr
Source: Alexandria via LeMat-Bulk
Functional: PBE
Structure: relaxed

```
12
Lattice="3.027 0.000 0.000 -1.514 2.622 0.000 0.000 0.000 22.503" Properties=species:S:1:pos:R:3 pbc="T T T"
Ta 0.000 0.000 5.575
Ta 0.000 0.000 16.928
Ta 0.000 1.748 9.427
Ta 0.000 1.748 20.577
Ta 1.514 0.874 1.926
Ta 1.514 0.874 13.076
Be 0.000 0.000 11.251
Be 0.000 1.748 3.751
Be 1.514 0.874 18.752
Cr 0.000 0.000 0.000
Cr 0.000 1.748 15.002
Cr 1.514 0.874 7.501
```

Values from the calculation:
Final energy (eV per atom): -8.930

---

Compound: BeV2B
Source: Alexandria via LeMat-Bulk
Functional: PBE
Structure: relaxed

```
16
Lattice="5.967 0.000 0.000 0.000 5.967 0.000 0.000 0.000 4.766" Properties=species:S:1:pos:R:3 pbc="T T T"
Be 0.000 0.000 0.000
Be 0.000 2.983 1.192
Be 2.983 0.000 3.575
Be 2.983 2.983 2.383
V 1.388 1.492 2.979
V 1.492 4.371 4.171
V 1.492 4.579 1.787
V 1.596 1.492 0.596
V 4.371 4.475 0.596
V 4.475 1.388 1.787
V 4.475 1.596 4.171
V 4.579 4.475 2.979
B 0.000 0.000 2.383
B 0.000 2.983 3.575
B 2.983 0.000 1.192
B 2.983 2.983 0.000
```

Values from the calculation:
Final energy (eV per atom): -7.012

---

Compound: InOs2Se
Source: Alexandria via LeMat-Bulk
Functional: PBE
Structure: relaxed

```
4
Lattice="2.921 0.000 0.000 0.000 4.660 0.000 0.000 0.000 4.988" Properties=species:S:1:pos:R:3 pbc="T T T"
In 0.000 0.000 0.000
Os 0.000 2.330 2.494
Os 1.460 2.330 0.000
Se 1.460 0.000 2.494
```

Values from the calculation:
Final energy (eV per atom): -6.313
Formation energy (no corrections) (eV/atom): 0.857

---

Compound: ReNiOs2
Source: Alexandria via LeMat-Bulk
Functional: PBE
Structure: relaxed

```
4
Lattice="2.713 0.000 0.000 0.000 3.824 0.000 -0.007 0.000 5.305" Properties=species:S:1:pos:R:3 pbc="T T T"
Re 0.000 0.000 0.000
Ni 1.353 1.912 1.276
Os 1.352 1.912 3.911
Os 2.707 0.000 2.544
```

Values from the calculation:
Final energy (eV per atom): -10.070

---

Compound: GaS2Cl
Source: Alexandria via LeMat-Bulk
Functional: PBE
Structure: relaxed

```
12
Lattice="3.712 0.000 0.000 -1.856 3.214 0.000 0.000 0.000 21.707" Properties=species:S:1:pos:R:3 pbc="T T T"
Ga 0.000 0.000 0.000
Ga 0.000 2.143 14.472
Ga 1.856 1.071 7.236
S 0.000 0.000 8.507
S 0.000 0.000 13.200
S 0.000 2.143 1.271
S 0.000 2.143 5.964
S 1.856 1.071 15.743
S 1.856 1.071 20.436
Cl 0.000 0.000 10.854
Cl 0.000 2.143 3.618
Cl 1.856 1.071 18.089
```

Values from the calculation:
Final energy (eV per atom): -3.545
Formation energy (no corrections) (eV/atom): -0.263

---

Compound: RbHf2Zn
Source: Alexandria via LeMat-Bulk
Functional: PBE
Structure: relaxed

```
16
Lattice="4.308 0.000 0.000 0.000 4.308 0.000 0.000 0.000 22.823" Properties=species:S:1:pos:R:3 pbc="T T T"
Rb 0.000 0.000 0.000
Rb 0.000 2.154 5.706
Rb 2.154 0.000 17.117
Rb 2.154 2.154 11.411
Hf 0.971 1.077 14.264
Hf 1.077 3.125 19.970
Hf 1.077 3.337 8.559
Hf 1.183 1.077 2.853
Hf 3.125 3.231 2.853
Hf 3.231 0.971 8.559
Hf 3.231 1.183 19.970
Hf 3.337 3.231 14.264
Zn 0.000 0.000 11.411
Zn 0.000 2.154 17.117
Zn 2.154 0.000 5.706
Zn 2.154 2.154 0.000
```

Values from the calculation:
Final energy (eV per atom): -4.459

---

What did the sixth record say?
Compound: ReNiOs2
Source: Alexandria via LeMat-Bulk
Functional: PBE
Structure: relaxed

```
4
Lattice="2.713 0.000 0.000 0.000 3.824 0.000 -0.007 0.000 5.305" Properties=species:S:1:pos:R:3 pbc="T T T"
Re 0.000 0.000 0.000
Ni 1.353 1.912 1.276
Os 1.352 1.912 3.911
Os 2.707 0.000 2.544
```

Values from the calculation:
Final energy (eV per atom): -10.070

---

> Among the records above, which one has the highest final energy?

Ba2SrSnOs